Record 1
A plane-wave DFT calculation with GGA-PBE was carried out for an optimized crystal structure of SmZnCu.

```
3
Lattice="0.000 3.309 3.309 3.309 0.000 3.309 3.309 3.309 0.000" Properties=species:S:1:pos:R:3 pbc="T T T"
Sm 0.000 0.000 0.000
Zn 1.655 1.655 1.655
Cu 4.964 4.964 4.964
```

Calculated values
E_tot   -0.108 hartree per atom
Space group   F-43m, No. 216

***

Record 2
A plane-wave DFT calculation with GGA-PBE was carried out for an optimized crystal structure of Rb2Pr2AsP.

```
6
Lattice="5.271 0.000 0.000 0.000 5.271 0.000 0.000 0.000 8.085" Properties=species:S:1:pos:R:3 pbc="T T T"
Rb 0.000 0.000 0.000
Rb 2.635 2.635 1.831
Pr 0.000 2.635 4.911
Pr 2.635 0.000 4.911
As 2.635 2.635 6.408
P 0.000 0.000 3.605
```

Calculated values
E_tot   -0.157 hartree per atom
Space group   P4mm, No. 99